(1)
First-principles (PBE) data for a relaxed CaSm4Tm crystal, as listed in Alexandria via LeMat-Bulk.

a b c (Å): 6.717 6.717 6.717
angles (deg): 60.00 60.00 60.00
Fractional positions:
1 Ca 0.000 0.000 0.000
2 Sm 0.130 0.623 0.623
3 Sm 0.623 0.130 0.623
4 Sm 0.623 0.623 0.130
5 Sm 0.623 0.623 0.623
6 Tm 0.250 0.250 0.250

* calculated density: 6.28 Mg/m³
* space group: F-43m (216)
* crystal system: cubic
* distance to the lowest polymorph of the same formula: 1.00 eV/f.u.
* energy relative to the elements: 0.2200 eV/atom



(2)
First-principles (PBE) data for a relaxed RbRhSe2 crystal, as listed in Alexandria via LeMat-Bulk.

a b c (Å): 5.937 5.937 12.087
angles (deg): 90.00 90.00 90.00
Fractional positions:
1 Rb 0.000 0.250 0.375
2 Rb 0.000 0.750 0.625
3 Rb 0.500 0.250 0.125
4 Rb 0.500 0.750 0.875
5 Rh 0.000 0.250 0.875
6 Rh 0.000 0.750 0.125
7 Rh 0.500 0.250 0.625
8 Rh 0.500 0.750 0.375
9 Se 0.000 0.250 0.073
10 Se 0.000 0.250 0.677
11 Se 0.000 0.750 0.323
12 Se 0.000 0.750 0.927
13 Se 0.500 0.250 0.427
14 Se 0.500 0.250 0.823
15 Se 0.500 0.750 0.177
16 Se 0.500 0.750 0.573

* calculated density: 5.40 Mg/m³
* space group: I4_1/amd (141)
* crystal system: tetragonal
* E_form (uncorrected): -217 meV per atom



(3)
First-principles (PBE) data for a relaxed AlGa2Ni3 crystal, as listed in Alexandria via LeMat-Bulk.

a b c (Å): 2.945 2.945 8.498
angles (deg): 90.00 90.00 90.00
Fractional positions:
1 Al 0.000 0.000 0.000
2 Ga 0.000 0.000 0.332
3 Ga 0.000 0.000 0.668
4 Ni 0.500 0.500 0.165
5 Ni 0.500 0.500 0.500
6 Ni 0.500 0.500 0.835

* calculated density: 7.72 Mg/m³
* space group: P4/mmm (123)
* crystal system: tetragonal
* energy relative to the elements: -0.4647 eV/atom



(4)
First-principles (PBE) data for a relaxed Na2CrCl crystal, as listed in Alexandria via LeMat-Bulk.

a b c (Å): 3.335 5.196 11.574
angles (deg): 90.00 90.00 90.00
Fractional positions:
1 Na 0.000 0.000 0.000
2 Na 0.000 0.500 0.184
3 Na 0.500 0.000 0.684
4 Na 0.500 0.500 0.500
5 Cr 0.000 0.500 0.787
6 Cr 0.500 0.000 0.287
7 Cl 0.000 0.000 0.470
8 Cl 0.500 0.500 0.970

* calculated density: 2.21 Mg/m³
* space group: Imm2 (44)
* crystal system: orthorhombic
* E_form (uncorrected): -98 meV per atom
* distance to the lowest polymorph of the same formula: 1.66 eV/f.u.



(5)
First-principles (PBE) data for a relaxed Tm3P5Ir6 crystal, as listed in Alexandria via LeMat-Bulk.

a b c (Å): 3.824 12.176 9.774
angles (deg): 90.00 90.00 90.00
Fractional positions:
1 Tm 0.250 0.097 0.239
2 Tm 0.250 0.403 0.239
3 Tm 0.250 0.750 0.271
4 Tm 0.750 0.250 0.729
5 Tm 0.750 0.597 0.761
6 Tm 0.750 0.903 0.761
7 P 0.250 0.080 0.838
8 P 0.250 0.420 0.838
9 P 0.250 0.632 0.539
10 P 0.250 0.750 0.874
11 P 0.250 0.868 0.539
12 P 0.750 0.132 0.461
13 P 0.750 0.250 0.126
14 P 0.750 0.368 0.461
15 P 0.750 0.580 0.162
16 P 0.750 0.920 0.162
17 Ir 0.250 0.051 0.606
18 Ir 0.250 0.250 0.478
19 Ir 0.250 0.250 0.982
20 Ir 0.250 0.449 0.606
21 Ir 0.250 0.582 0.026
22 Ir 0.250 0.918 0.026
23 Ir 0.750 0.082 0.974
24 Ir 0.750 0.418 0.974
25 Ir 0.750 0.551 0.394
26 Ir 0.750 0.750 0.018
27 Ir 0.750 0.750 0.522
28 Ir 0.750 0.949 0.394

* calculated density: 13.25 Mg/m³
* space group: Pmmn (59)
* crystal system: orthorhombic
* energy relative to the elements: -0.9577 eV/atom



(6)
First-principles (PBE) data for a relaxed Pm5Ni2Bi crystal, as listed in Alexandria via LeMat-Bulk.

a b c (Å): 8.859 8.859 8.859
angles (deg): 126.66 126.66 78.80
Fractional positions:
1 Pm 0.000 0.000 0.000
2 Pm 0.020 0.520 0.811
3 Pm 0.210 0.020 0.500
4 Pm 0.290 0.790 0.811
5 Pm 0.480 0.290 0.500
6 Pm 0.500 0.500 0.000
7 Pm 0.520 0.710 0.500
8 Pm 0.710 0.210 0.189
9 Pm 0.790 0.980 0.500
10 Pm 0.980 0.480 0.189
11 Ni 0.130 0.370 0.500
12 Ni 0.370 0.870 0.239
13 Ni 0.630 0.130 0.761
14 Ni 0.870 0.630 0.500
15 Bi 0.250 0.250 0.000
16 Bi 0.750 0.750 0.000

* calculated density: 8.07 Mg/m³
* space group: I4/mcm (140)
* crystal system: tetragonal
* energy relative to the elements: -0.3999 eV/atom



(7)
First-principles (PBE) data for a relaxed Tm6Si2TeSe3 crystal, as listed in Alexandria via LeMat-Bulk.

a b c (Å): 9.145 9.145 8.253
angles (deg): 102.36 102.36 25.85
Fractional positions:
1 Tm 0.009 0.009 0.272
2 Tm 0.326 0.326 0.891
3 Tm 0.329 0.329 0.425
4 Tm 0.671 0.671 0.575
5 Tm 0.674 0.674 0.109
6 Tm 0.991 0.991 0.728
7 Si 0.168 0.168 0.336
8 Si 0.832 0.832 0.664
9 Te 0.500 0.500 0.000
10 Se 0.162 0.162 0.837
11 Se 0.500 0.500 0.500
12 Se 0.838 0.838 0.163

* calculated density: 8.11 Mg/m³
* space group: C2/m (12)
* crystal system: monoclinic
* E_form (uncorrected): -1358 meV per atom